Compound: LaPrTm6
Source: the Alexandria database
Functional: GGA-PBE
Structure: optimized geometry

a b c (Å): 7.1003 7.1003 5.0271
angles (deg): 90.00 90.00 90.00
With the nearest neighbours (Å) after each atom.
Sites, in units of the cell vectors:
La 0.0000 0.0000 0.0000  12 Tm 3.55-3.56
Pr 0.5000 0.5000 0.0000  12 Tm 3.54-3.55
Tm 0.0000 0.5000 0.0000  2 Pr 3.55, 2 La 3.55, 8 Tm 3.55
Tm 0.2511 0.2511 0.5000  8 Tm 3.53-3.57, 2 Pr 3.54, 2 La 3.56
Tm 0.2511 0.7489 0.5000  8 Tm 3.53-3.57, 2 Pr 3.54, 2 La 3.56
Tm 0.5000 0.0000 0.0000  2 Pr 3.55, 2 La 3.55, 8 Tm 3.55
Tm 0.7489 0.2511 0.5000  8 Tm 3.53-3.57, 2 Pr 3.54, 2 La 3.56
Tm 0.7489 0.7489 0.5000  8 Tm 3.53-3.57, 2 Pr 3.54, 2 La 3.56

Output
Symmetry = No. 123
Size of the total moment = 0.000 μB/cell
Distance to the lowest polymorph of the same formula = 0 meV per atom
ΔE_f = 0.037 eV/atom
ρ = 8.47 g/cm3
DFT total energy = -4.53 eV/atom